Entry 1:
This record from OQMD via LeMat-Bulk describes a relaxed structure of TmGaAsO. The functional is PBE-GGA.

It has space group Pmc2_1 (No. 26), with a = 4.0072 Å, b = 6.8066 Å, c = 5.8691 Å, α = 90.00°, β = 90.00° and γ = 90.00°. Symmetry generates all atoms from Tm at (0.0000, 0.1955, 0.0000), Ga at (0.5000, 0.3989, 0.6156), As at (0.0000, 0.2173, 0.4866) and O at (0.5000, 0.3227, 0.9797).

The total magnetization comes out at 0.0 μB per cell. As for the theoretical density: 6.8 g/cm³. As for the calculated volume: 160 Å³/cell. For the excess energy over the best structure of this formula in the dataset, the calculation gives 0.994 eV per formula unit.


Entry 2:
This record from OQMD via LeMat-Bulk describes a relaxed structure of TmGaAsO. The functional is PBE-GGA.

It has space group Pmc2_1 (No. 26), with a = 4.4608 Å, b = 5.0597 Å, c = 6.2257 Å, α = 90.00°, β = 90.00° and γ = 90.00°. Symmetry generates all atoms from Tm at (0.0000, 0.2285, 0.0000), Ga at (0.5000, 0.3749, 0.3392), As at (0.5000, 0.1137, 0.6912) and O at (0.0000, 0.4138, 0.3115).

The total magnetization comes out at 0.0 μB per cell. As for the theoretical density: 7.8 g/cm³. As for the calculated volume: 141 Å³/cell. For the excess energy over the best structure of this formula in the dataset, the calculation gives 0.774 eV per formula unit.


Entry 3:
This record from OQMD via LeMat-Bulk describes a relaxed structure of TmGaAsO. The functional is PBE-GGA.

It has space group P4/nmm (No. 129, origin choice 2), with a = 3.9876 Å, b = 3.9876 Å, c = 9.1645 Å, α = 90.00°, β = 90.00° and γ = 90.00°. Symmetry generates all atoms from Tm at (0.2500, 0.2500, 0.1107), Ga at (0.2500, 0.7500, 0.5000), As at (0.2500, 0.2500, 0.6942) and O at (0.2500, 0.7500, 0.0000).

The total magnetization comes out at 0.0 μB per cell. As for the theoretical density: 7.5 g/cm³. As for the calculated volume: 146 Å³/cell. For the excess energy over the best structure of this formula in the dataset, the calculation gives 0.000 eV per formula unit.